[1]
A plane-wave DFT calculation with PBE-GGA was carried out for Sm2DyHg5 after structural relaxation.

```
Sm2DyHg5
1.0
-2.615 2.615 7.453
2.615 -2.615 7.453
2.615 2.615 -7.453
Sm Dy Hg
2 1 5
Direct
0.235 0.235 0.000 Sm
0.765 0.765 0.000 Sm
0.500 0.500 0.000 Dy
0.000 0.000 0.000 Hg
0.120 0.620 0.500 Hg
0.380 0.880 0.500 Hg
0.620 0.120 0.500 Hg
0.880 0.380 0.500 Hg
```

Summary:
Space-group type: I4/mmm, No. 139
Energy of formation from the pure elements (eV/atom): -0.4178

[2]
A plane-wave DFT calculation with PBE-GGA was carried out for TbPd3 after structural relaxation.

```
TbPd3
1.0
0.000 3.312 3.312
3.312 0.000 3.312
3.312 3.312 0.000
Tb Pd
1 3
Direct
0.000 0.000 0.000 Tb
0.250 0.250 0.250 Pd
0.500 0.500 0.500 Pd
0.750 0.750 0.750 Pd
```

Summary:
Space-group type: Fm-3m, No. 225
Energy of formation from the pure elements (eV/atom): -0.7053

[3]
A plane-wave DFT calculation with PBE-GGA was carried out for LiPuMgNi after structural relaxation.

```
LiPuMgNi
1.0
0.000 3.339 3.339
3.339 0.000 3.339
3.339 3.339 0.000
Li Pu Mg Ni
1 1 1 1
Direct
0.000 0.000 0.000 Li
0.750 0.750 0.750 Pu
0.250 0.250 0.250 Mg
0.500 0.500 0.500 Ni
```

Summary:
Space-group type: F-43m, No. 216
Energy of formation from the pure elements (eV/atom): 0.0761

[4]
A plane-wave DFT calculation with PBE-GGA was carried out for LaMo2Au after structural relaxation.

```
LaMo2Au
1.0
-2.419 2.419 3.411
2.419 -2.419 3.411
2.419 2.419 -3.411
La Mo Au
1 2 1
Direct
0.000 0.000 0.000 La
0.500 0.500 0.000 Mo
0.750 0.250 0.500 Mo
0.250 0.750 0.500 Au
```

Summary:
Excess energy over the best structure of this formula in the dataset (eV/atom): 0.300
Space-group type: I-4m2, No. 119
Energy of formation from the pure elements (eV/atom): 0.3897

[5]
A plane-wave DFT calculation with PBE-GGA was carried out for Tb4AsIrSe2 after structural relaxation.

```
Tb4AsIrSe2
1.0
7.144 0.000 0.000
0.000 4.075 0.000
-2.330 0.000 6.866
Tb As Ir Se
4 1 1 2
Direct
0.234 0.000 0.229 Tb
0.245 0.500 0.768 Tb
0.755 0.500 0.232 Tb
0.766 0.000 0.771 Tb
0.500 0.000 0.000 As
0.000 0.500 0.000 Ir
0.000 0.000 0.500 Se
0.500 0.500 0.500 Se
```

Summary:
Space-group type: P2/m, No. 10
Formation energy (no corrections) (kJ/mol of atoms): -141

[6]
A plane-wave DFT calculation with PBE-GGA was carried out for Pr5Ho5Er2 after structural relaxation.

```
Pr5Ho5Er2
1.0
7.655 -2.543 0.000
7.655 2.543 0.000
-5.101 0.000 10.171
Pr Ho Er
5 5 2
Direct
0.000 0.000 0.000 Pr
0.082 0.082 0.748 Pr
0.249 0.249 0.252 Pr
0.751 0.751 0.748 Pr
0.918 0.918 0.252 Pr
0.333 0.333 0.000 Ho
0.415 0.415 0.746 Ho
0.500 0.500 0.500 Ho
0.585 0.585 0.254 Ho
0.667 0.667 0.000 Ho
0.167 0.167 0.499 Er
0.833 0.833 0.501 Er
```

Summary:
Space-group type: C2/m, No. 12
Energy of formation from the pure elements (eV/atom): 0.0210

What is the formula in the sixth record?
Pr5Ho5Er2